# 1
## Ce2SmThBi5 (PBE-GGA)

Data for a geometry-optimized Ce2SmThBi5 structure.

```
data_Ce2SmThBi5
_cell_length_a 5.752
_cell_length_b 5.752
_cell_length_c 12.012
_cell_angle_alpha 90.00
_cell_angle_beta 90.00
_cell_angle_gamma 90.00
_space_group_name_H-M_alt 'P 1'
_space_group_IT_number 1
loop_
_space_group_symop_operation_xyz
'x,y,z'
loop_
_atom_site_label
_atom_site_type_symbol
_atom_site_fract_x
_atom_site_fract_y
_atom_site_fract_z
_atom_site_occupancy
Ce1 Ce 0.500 0.500 0.282 1
Ce2 Ce 0.500 0.500 0.718 1
Sm1 Sm 0.000 0.000 0.000 1
Th1 Th 0.000 0.000 0.500 1
Bi1 Bi 0.000 0.500 0.500 1
Bi2 Bi 0.500 0.000 0.500 1
Bi3 Bi 0.000 0.000 0.755 1
Bi4 Bi 0.000 0.000 0.245 1
Bi5 Bi 0.500 0.500 0.000 1
```

The raw total energy comes out at -0.17505 hartree per atom. Its space group is P4/mmm. The value obtained for the formation energy is 0.0602 eV per atom.


# 2
## CeSm2ThBi5 (PBE-GGA)

Data for a geometry-optimized CeSm2ThBi5 structure.

```
data_CeSm2ThBi5
_cell_length_a 5.724
_cell_length_b 5.724
_cell_length_c 12.085
_cell_angle_alpha 90.00
_cell_angle_beta 90.00
_cell_angle_gamma 90.00
_space_group_name_H-M_alt 'P 1'
_space_group_IT_number 1
loop_
_space_group_symop_operation_xyz
'x,y,z'
loop_
_atom_site_label
_atom_site_type_symbol
_atom_site_fract_x
_atom_site_fract_y
_atom_site_fract_z
_atom_site_occupancy
Ce1 Ce 0.000 0.000 0.000 1
Sm1 Sm 0.500 0.500 0.273 1
Sm2 Sm 0.500 0.500 0.727 1
Th1 Th 0.000 0.000 0.500 1
Bi1 Bi 0.000 0.500 0.500 1
Bi2 Bi 0.500 0.000 0.500 1
Bi3 Bi 0.000 0.000 0.755 1
Bi4 Bi 0.000 0.000 0.245 1
Bi5 Bi 0.500 0.500 0.000 1
```

The raw total energy comes out at -0.16866 hartree per atom. Its space group is P4/mmm. The value obtained for the formation energy is 0.0992 eV per atom.


# 3
## CeSmTh2Bi4 (PBE-GGA)

Data for a geometry-optimized CeSmTh2Bi4 structure.

```
data_CeSmTh2Bi4
_cell_length_a 4.591
_cell_length_b 7.940
_cell_length_c 7.962
_cell_angle_alpha 70.52
_cell_angle_beta 90.00
_cell_angle_gamma 90.00
_space_group_name_H-M_alt 'P 1'
_space_group_IT_number 1
loop_
_space_group_symop_operation_xyz
'x,y,z'
loop_
_atom_site_label
_atom_site_type_symbol
_atom_site_fract_x
_atom_site_fract_y
_atom_site_fract_z
_atom_site_occupancy
Ce1 Ce 0.000 0.500 0.500 1
Sm1 Sm 0.500 0.500 0.000 1
Th1 Th 0.000 0.000 0.000 1
Th2 Th 0.500 0.000 0.500 1
Bi1 Bi 0.000 0.747 0.752 1
Bi2 Bi 0.000 0.253 0.248 1
Bi3 Bi 0.500 0.748 0.250 1
Bi4 Bi 0.500 0.252 0.750 1
```

The raw total energy comes out at -0.21498 hartree per atom. Its space group is P2/m. The value obtained for the formation energy is -0.7229 eV per atom.


# 4
## CeSmTlBi (PBE-GGA)

Data for a geometry-optimized CeSmTlBi structure.

```
data_CeSmTlBi
_cell_length_a 5.533
_cell_length_b 5.533
_cell_length_c 5.533
_cell_angle_alpha 60.00
_cell_angle_beta 60.00
_cell_angle_gamma 60.00
_space_group_name_H-M_alt 'P 1'
_space_group_IT_number 1
loop_
_space_group_symop_operation_xyz
'x,y,z'
loop_
_atom_site_label
_atom_site_type_symbol
_atom_site_fract_x
_atom_site_fract_y
_atom_site_fract_z
_atom_site_occupancy
Tl1 Tl 0.750 0.750 0.750 1
Ce1 Ce 0.500 0.500 0.500 1
Bi1 Bi 0.250 0.250 0.250 1
Sm1 Sm 0.000 0.000 0.000 1
```

The raw total energy comes out at -0.17075 hartree per atom. Its space group is F-43m. The value obtained for the formation energy is -0.4212 eV per atom.


# 5
## CeSm2TmBi5 (PBE-GGA)

Data for a geometry-optimized CeSm2TmBi5 structure.

```
data_CeSm2TmBi5
_cell_length_a 5.572
_cell_length_b 5.572
_cell_length_c 11.805
_cell_angle_alpha 90.00
_cell_angle_beta 90.00
_cell_angle_gamma 90.00
_space_group_name_H-M_alt 'P 1'
_space_group_IT_number 1
loop_
_space_group_symop_operation_xyz
'x,y,z'
loop_
_atom_site_label
_atom_site_type_symbol
_atom_site_fract_x
_atom_site_fract_y
_atom_site_fract_z
_atom_site_occupancy
Ce1 Ce 0.000 0.000 0.500 1
Sm1 Sm 0.500 0.500 0.276 1
Sm2 Sm 0.500 0.500 0.724 1
Tm1 Tm 0.000 0.000 0.000 1
Bi1 Bi 0.000 0.500 0.500 1
Bi2 Bi 0.500 0.000 0.500 1
Bi3 Bi 0.000 0.000 0.756 1
Bi4 Bi 0.000 0.000 0.244 1
Bi5 Bi 0.500 0.500 0.000 1
```

The raw total energy comes out at -0.16005 hartree per atom. Its space group is P4/mmm. The value obtained for the formation energy is 0.0058 eV per atom.


# 6
## Ce3Sm2YBi6 (PBE-GGA)

Data for a geometry-optimized Ce3Sm2YBi6 structure.

```
data_Ce3Sm2YBi6
_cell_length_a 7.915
_cell_length_b 7.915
_cell_length_c 7.910
_cell_angle_alpha 99.60
_cell_angle_beta 99.60
_cell_angle_gamma 120.00
_space_group_name_H-M_alt 'P 1'
_space_group_IT_number 1
loop_
_space_group_symop_operation_xyz
'x,y,z'
loop_
_atom_site_label
_atom_site_type_symbol
_atom_site_fract_x
_atom_site_fract_y
_atom_site_fract_z
_atom_site_occupancy
Ce1 Ce 0.168 0.832 0.500 1
Ce2 Ce 0.832 0.168 0.500 1
Ce3 Ce 0.500 0.500 0.500 1
Sm1 Sm 0.334 0.666 0.000 1
Sm2 Sm 0.666 0.334 0.000 1
Y1 Y 0.000 0.000 0.000 1
Bi1 Bi 0.918 0.587 0.753 1
Bi2 Bi 0.752 0.752 0.248 1
Bi3 Bi 0.082 0.413 0.247 1
Bi4 Bi 0.587 0.918 0.753 1
Bi5 Bi 0.248 0.248 0.752 1
Bi6 Bi 0.413 0.082 0.247 1
```

The raw total energy comes out at -0.20601 hartree per atom. Its space group is C2/m. The value obtained for the formation energy is -0.8566 eV per atom.


# 7
## CeSm2Y3Bi6 (PBE-GGA)

Data for a geometry-optimized CeSm2Y3Bi6 structure.

```
data_CeSm2Y3Bi6
_cell_length_a 7.847
_cell_length_b 7.847
_cell_length_c 7.839
_cell_angle_alpha 99.60
_cell_angle_beta 99.60
_cell_angle_gamma 120.00
_space_group_name_H-M_alt 'P 1'
_space_group_IT_number 1
loop_
_space_group_symop_operation_xyz
'x,y,z'
loop_
_atom_site_label
_atom_site_type_symbol
_atom_site_fract_x
_atom_site_fract_y
_atom_site_fract_z
_atom_site_occupancy
Ce1 Ce 0.000 0.000 0.000 1
Sm1 Sm 0.333 0.667 0.000 1
Sm2 Sm 0.667 0.333 0.000 1
Y1 Y 0.167 0.833 0.500 1
Y2 Y 0.833 0.167 0.500 1
Y3 Y 0.500 0.500 0.500 1
Bi1 Bi 0.915 0.582 0.745 1
Bi2 Bi 0.752 0.752 0.255 1
Bi3 Bi 0.085 0.418 0.255 1
Bi4 Bi 0.582 0.915 0.745 1
Bi5 Bi 0.248 0.248 0.745 1
Bi6 Bi 0.418 0.085 0.255 1
```

The raw total energy comes out at -0.21058 hartree per atom. Its space group is C2/m. The value obtained for the formation energy is -0.8926 eV per atom.


# 8
## Ce5Sn2Bi2 (PBE-GGA)

Data for a geometry-optimized Ce5Sn2Bi2 structure.

```
data_Ce5Sn2Bi2
_cell_length_a 8.522
_cell_length_b 8.454
_cell_length_c 9.036
_cell_angle_alpha 117.89
_cell_angle_beta 90.00
_cell_angle_gamma 90.00
_space_group_name_H-M_alt 'P 1'
_space_group_IT_number 1
loop_
_space_group_symop_operation_xyz
'x,y,z'
loop_
_atom_site_label
_atom_site_type_symbol
_atom_site_fract_x
_atom_site_fract_y
_atom_site_fract_z
_atom_site_occupancy
Ce1 Ce 0.000 0.000 0.000 1
Ce2 Ce 0.500 0.500 0.000 1
Ce3 Ce 0.834 0.810 0.282 1
Ce4 Ce 0.166 0.472 0.282 1
Ce5 Ce 0.334 0.972 0.282 1
Ce6 Ce 0.666 0.310 0.282 1
Ce7 Ce 0.166 0.190 0.718 1
Ce8 Ce 0.834 0.528 0.718 1
Ce9 Ce 0.666 0.028 0.718 1
Ce10 Ce 0.334 0.690 0.718 1
Sn1 Sn 0.000 0.202 0.404 1
Sn2 Sn 0.500 0.702 0.404 1
Sn3 Sn 0.000 0.798 0.596 1
Sn4 Sn 0.500 0.298 0.596 1
Bi1 Bi 0.640 0.862 0.000 1
Bi2 Bi 0.360 0.138 0.000 1
Bi3 Bi 0.140 0.638 0.000 1
Bi4 Bi 0.860 0.362 0.000 1
```

The calculation puts the energy above the most stable polymorph in this dataset at 53 meV per atom. The raw total energy comes out at -0.20767 hartree per atom. Its space group is Cmce. The value obtained for the formation energy is -0.6023 eV per atom.


# 9
## CeSnBi2 (PBE-GGA)

Data for a geometry-optimized CeSnBi2 structure.

```
data_CeSnBi2
_cell_length_a 4.640
_cell_length_b 4.997
_cell_length_c 4.997
_cell_angle_alpha 90.00
_cell_angle_beta 90.00
_cell_angle_gamma 90.00
_space_group_name_H-M_alt 'P 1'
_space_group_IT_number 1
loop_
_space_group_symop_operation_xyz
'x,y,z'
loop_
_atom_site_label
_atom_site_type_symbol
_atom_site_fract_x
_atom_site_fract_y
_atom_site_fract_z
_atom_site_occupancy
Bi1 Bi 0.000 0.000 0.500 1
Bi2 Bi 0.000 0.500 0.000 1
Ce1 Ce 0.500 0.500 0.500 1
Sn1 Sn 0.500 0.000 0.000 1
```

The calculation puts the energy above the most stable polymorph in this dataset at 0 meV per atom. The raw total energy comes out at -0.17977 hartree per atom. Its space group is P4/mmm. The value obtained for the formation energy is -0.4670 eV per atom.


# 10
## Ce2Sn3Bi3 (PBE-GGA)

Data for a geometry-optimized Ce2Sn3Bi3 structure.

```
data_Ce2Sn3Bi3
_cell_length_a 4.889
_cell_length_b 4.834
_cell_length_c 9.548
_cell_angle_alpha 90.00
_cell_angle_beta 90.00
_cell_angle_gamma 90.00
_space_group_name_H-M_alt 'P 1'
_space_group_IT_number 1
loop_
_space_group_symop_operation_xyz
'x,y,z'
loop_
_atom_site_label
_atom_site_type_symbol
_atom_site_fract_x
_atom_site_fract_y
_atom_site_fract_z
_atom_site_occupancy
Ce1 Ce 0.000 0.000 0.754 1
Ce2 Ce 0.000 0.000 0.246 1
Sn1 Sn 0.500 0.500 0.756 1
Sn2 Sn 0.500 0.500 0.244 1
Sn3 Sn 0.500 0.000 0.000 1
Bi1 Bi 0.500 0.000 0.500 1
Bi2 Bi 0.000 0.500 0.000 1
Bi3 Bi 0.000 0.500 0.500 1
```

The raw total energy comes out at -0.18079 hartree per atom. Its space group is Pmmm. The value obtained for the formation energy is -0.4796 eV per atom.


Taking the records one at a time from the top gives spin magnetization values of 0.250, 0.089, 0.139, 0.453, 0.000, 0.215, 0.061, 0.669, 0.060, 0.009 μB/atom.